(w)
Material: NaGdHgS3
Method: DFT, PBE-GGA
State: relaxed

## Properties
Size of the total moment: 0.0 μB per cell
Space group: Cmcm, No. 63
Volume: 24.5 Å³/atom

Cell lengths 6.973, 6.973, 10.825 Å; angles 90.00, 90.00, 146.10 degrees
Positions (direct):
Na 0.243 0.757 0.750
Na 0.757 0.243 0.250
Gd 0.500 0.500 0.000
Gd 0.500 0.500 0.500
Hg 0.045 0.955 0.250
Hg 0.955 0.045 0.750
S 0.138 0.862 0.051
S 0.138 0.862 0.449
S 0.418 0.582 0.250
S 0.582 0.418 0.750
S 0.862 0.138 0.551
S 0.862 0.138 0.949


(x)
Material: NaGdHgS3
Method: DFT, PBE-GGA
State: relaxed

## Properties
Size of the total moment: 0.0 μB per cell
Space group: P2_1/m, No. 11
Volume: 27.7 Å³/atom

Cell lengths 7.909, 4.078, 10.854 Å; angles 90.00, 108.11, 90.00 degrees
Positions (direct):
Na 0.189 0.250 0.145
Na 0.811 0.750 0.855
Gd 0.323 0.750 0.857
Gd 0.677 0.250 0.143
Hg 0.059 0.250 0.621
Hg 0.941 0.750 0.379
S 0.074 0.250 0.858
S 0.242 0.750 0.579
S 0.437 0.750 0.125
S 0.563 0.250 0.875
S 0.758 0.250 0.421
S 0.926 0.750 0.142


(y)
Material: NaGdHgS3
Method: DFT, PBE-GGA
State: relaxed

## Properties
Size of the total moment: 0.0 μB per cell
Space group: Pnma, No. 62
Volume: 24.5 Å³/atom

Cell lengths 10.709, 4.119, 13.339 Å; angles 90.00, 90.00, 90.00 degrees
Positions (direct):
Na 0.148 0.250 0.061
Na 0.352 0.750 0.561
Na 0.648 0.250 0.439
Na 0.852 0.750 0.939
Gd 0.109 0.250 0.752
Gd 0.391 0.750 0.252
Gd 0.609 0.250 0.748
Gd 0.891 0.750 0.248
Hg 0.137 0.250 0.373
Hg 0.363 0.750 0.873
Hg 0.637 0.250 0.127
Hg 0.863 0.750 0.627
S 0.087 0.750 0.614
S 0.139 0.750 0.901
S 0.141 0.750 0.209
S 0.359 0.250 0.709
S 0.361 0.250 0.401
S 0.413 0.250 0.114
S 0.587 0.750 0.886
S 0.639 0.750 0.599
S 0.641 0.750 0.291
S 0.859 0.250 0.791
S 0.861 0.250 0.099
S 0.913 0.250 0.386


Pick (y): it beats the second-best structure by 51 meV per atom.


(w)
Material: NaGdHgTe3
Method: DFT, PBE-GGA
State: relaxed

## Properties
Size of the total moment: 0.0 μB per cell
Space group: Pnma, No. 62
Volume: 31.4 Å³/atom

Cell lengths 8.979, 4.506, 18.634 Å; angles 90.00, 90.00, 90.00 degrees
Positions (direct):
Na 0.111 0.250 0.194
Na 0.389 0.750 0.694
Na 0.611 0.250 0.306
Na 0.889 0.750 0.806
Gd 0.219 0.250 0.962
Gd 0.281 0.750 0.462
Gd 0.719 0.250 0.538
Gd 0.781 0.750 0.038
Hg 0.020 0.250 0.669
Hg 0.480 0.750 0.169
Hg 0.520 0.250 0.831
Hg 0.980 0.750 0.331
Te 0.010 0.250 0.427
Te 0.126 0.750 0.065
Te 0.199 0.250 0.792
Te 0.301 0.750 0.292
Te 0.374 0.250 0.565
Te 0.490 0.750 0.927
Te 0.510 0.250 0.073
Te 0.626 0.750 0.435
Te 0.699 0.250 0.708
Te 0.801 0.750 0.208
Te 0.874 0.250 0.935
Te 0.990 0.750 0.573


(x)
Material: NaGdHgTe3
Method: DFT, PBE-GGA
State: relaxed

## Properties
Size of the total moment: 0.0 μB per cell
Space group: Pnma, No. 62
Volume: 32.2 Å³/atom

Cell lengths 11.736, 4.408, 14.937 Å; angles 90.00, 90.00, 90.00 degrees
Positions (direct):
Na 0.235 0.250 0.023
Na 0.265 0.750 0.523
Na 0.735 0.250 0.477
Na 0.765 0.750 0.977
Gd 0.010 0.750 0.747
Gd 0.490 0.250 0.247
Gd 0.510 0.750 0.753
Gd 0.990 0.250 0.253
Hg 0.243 0.750 0.220
Hg 0.257 0.250 0.720
Hg 0.743 0.750 0.280
Hg 0.757 0.250 0.780
Te 0.046 0.750 0.110
Te 0.066 0.250 0.605
Te 0.241 0.250 0.344
Te 0.259 0.750 0.844
Te 0.434 0.750 0.105
Te 0.454 0.250 0.610
Te 0.546 0.750 0.390
Te 0.566 0.250 0.895
Te 0.741 0.250 0.156
Te 0.759 0.750 0.656
Te 0.934 0.750 0.395
Te 0.954 0.250 0.890


(y)
Material: NaGdHgTe3
Method: DFT, PBE-GGA
State: relaxed

## Properties
Size of the total moment: 0.0 μB per cell
Space group: P2_1/m, No. 11
Volume: 33.1 Å³/atom

Cell lengths 8.699, 4.435, 10.639 Å; angles 90.00, 104.30, 90.00 degrees
Positions (direct):
Na 0.221 0.250 0.257
Na 0.779 0.750 0.743
Gd 0.321 0.750 0.854
Gd 0.679 0.250 0.146
Hg 0.092 0.250 0.608
Hg 0.908 0.750 0.392
Te 0.067 0.250 0.866
Te 0.266 0.750 0.537
Te 0.433 0.750 0.153
Te 0.567 0.250 0.847
Te 0.734 0.250 0.463
Te 0.933 0.750 0.134


Pick (x): it beats the second-best structure by 6 meV per atom.


(w)
Material: NaGdHgTe3
Method: DFT, PBE-GGA
State: relaxed

## Properties
Size of the total moment: 0.0 μB per cell
Space group: C2/m, No. 12
Volume: 33.0 Å³/atom

Cell lengths 10.427, 10.427, 9.141 Å; angles 102.61, 102.61, 24.13 degrees
Positions (direct):
Na 0.124 0.124 0.081
Na 0.876 0.876 0.919
Gd 0.177 0.177 0.592
Gd 0.823 0.823 0.408
Hg 0.456 0.456 0.275
Hg 0.544 0.544 0.725
Te 0.000 0.000 0.500
Te 0.315 0.315 0.159
Te 0.330 0.330 0.646
Te 0.500 0.500 0.000
Te 0.670 0.670 0.354
Te 0.685 0.685 0.841


(x)
Material: NaGdHgTe3
Method: DFT, PBE-GGA
State: relaxed

## Properties
Size of the total moment: 0.0 μB per cell
Space group: Pnma, No. 62
Volume: 33.0 Å³/atom

Cell lengths 14.843, 4.434, 12.026 Å; angles 90.00, 90.00, 90.00 degrees
Positions (direct):
Na 0.230 0.250 0.077
Na 0.270 0.750 0.577
Na 0.730 0.250 0.423
Na 0.770 0.750 0.923
Gd 0.014 0.250 0.343
Gd 0.486 0.750 0.843
Gd 0.514 0.250 0.157
Gd 0.986 0.750 0.657
Hg 0.010 0.750 0.104
Hg 0.490 0.250 0.604
Hg 0.510 0.750 0.396
Hg 0.990 0.250 0.896
Te 0.112 0.250 0.568
Te 0.114 0.750 0.880
Te 0.150 0.750 0.261
Te 0.350 0.250 0.761
Te 0.386 0.250 0.380
Te 0.388 0.750 0.068
Te 0.612 0.250 0.932
Te 0.614 0.750 0.620
Te 0.650 0.750 0.239
Te 0.850 0.250 0.739
Te 0.886 0.250 0.120
Te 0.888 0.750 0.432


Pick (x): it beats the second-best structure by 55 meV per atom.


(w)
Material: GdNbHg
Method: DFT, PBE-GGA
State: relaxed

## Properties
Size of the total moment: 3.0 μB per cell
Space group: F-43m, No. 216
Volume: 28.1 Å³/atom

Cell lengths 4.919, 4.919, 4.919 Å; angles 60.00, 60.00, 60.00 degrees
Positions (direct):
Gd 0.000 0.000 0.000
Nb 0.250 0.250 0.250
Hg 0.750 0.750 0.750


(x)
Material: GdNbHg
Method: DFT, PBE-GGA
State: relaxed

## Properties
Size of the total moment: 1.9 μB per cell
Space group: F-43m, No. 216
Volume: 27.0 Å³/atom

Cell lengths 4.858, 4.858, 4.858 Å; angles 60.00, 60.00, 60.00 degrees
Positions (direct):
Gd 0.000 0.000 0.000
Nb 0.500 0.500 0.500
Hg 0.250 0.250 0.250


Pick (x): it beats the second-best structure by 389 meV per atom.


(w)
Material: GdHgTeO
Method: DFT, PBE-GGA
State: relaxed

## Properties
Size of the total moment: 0.0 μB per cell
Space group: Pmc2_1, No. 26
Volume: 33.7 Å³/atom

Cell lengths 5.016, 9.202, 5.842 Å; angles 90.00, 90.00, 90.00 degrees
Positions (direct):
Gd 0.000 0.129 0.000
Gd 0.000 0.871 0.500
Hg 0.500 0.304 0.618
Hg 0.500 0.696 0.118
Te 0.500 0.311 0.123
Te 0.500 0.689 0.623
O 0.000 0.074 0.656
O 0.000 0.926 0.156


(x)
Material: GdHgTeO
Method: DFT, PBE-GGA
State: relaxed

## Properties
Size of the total moment: 0.0 μB per cell
Space group: P4/nmm, No. 129
Volume: 22.7 Å³/atom

Cell lengths 4.141, 4.141, 10.602 Å; angles 90.00, 90.00, 90.00 degrees
Positions (direct):
Gd 0.250 0.250 0.097
Gd 0.750 0.750 0.903
Hg 0.250 0.750 0.500
Hg 0.750 0.250 0.500
Te 0.250 0.250 0.737
Te 0.750 0.750 0.263
O 0.250 0.750 0.000
O 0.750 0.250 0.000


Pick (x): it beats the second-best structure by 158 meV per atom.


(w)
Material: GdHgTeO
Method: DFT, PBE-GGA
State: relaxed

## Properties
Size of the total moment: 0.0 μB per cell
Space group: R-3m, No. 166
Volume: 28.6 Å³/atom

Cell lengths 10.356, 10.356, 10.356 Å; angles 28.86, 28.86, 28.86 degrees
Positions (direct):
Gd 0.236 0.236 0.236
Gd 0.764 0.764 0.764
Hg 0.378 0.378 0.378
Hg 0.622 0.622 0.622
Te 0.123 0.123 0.123
Te 0.877 0.877 0.877
O 0.304 0.304 0.304
O 0.696 0.696 0.696


(x)
Material: GdHgTeO
Method: DFT, PBE-GGA
State: relaxed

## Properties
Size of the total moment: 0.0 μB per cell
Space group: P2_1/c, No. 14
Volume: 25.2 Å³/atom

Cell lengths 7.838, 7.591, 7.133 Å; angles 90.00, 108.15, 90.00 degrees
Positions (direct):
Gd 0.008 0.143 0.186
Gd 0.008 0.357 0.686
Gd 0.992 0.643 0.314
Gd 0.992 0.857 0.814
Hg 0.427 0.733 0.484
Hg 0.427 0.767 0.984
Hg 0.573 0.233 0.016
Hg 0.573 0.267 0.516
Te 0.299 0.062 0.657
Te 0.299 0.438 0.157
Te 0.701 0.562 0.843
Te 0.701 0.938 0.343
O 0.053 0.641 0.633
O 0.053 0.859 0.133
O 0.947 0.141 0.867
O 0.947 0.359 0.367


Pick (x): it beats the second-best structure by 518 meV per atom.


(w)
Material: GdHgOs
Method: DFT, PBE-GGA
State: relaxed

## Properties
Size of the total moment: 0.5 μB per cell
Space group: F-43m, No. 216
Volume: 24.3 Å³/atom

Cell lengths 4.689, 4.689, 4.689 Å; angles 60.00, 60.00, 60.00 degrees
Positions (direct):
Gd 0.000 0.000 0.000
Hg 0.500 0.500 0.500
Os 0.250 0.250 0.250


(x)
Material: GdHgOs
Method: DFT, PBE-GGA
State: relaxed

## Properties
Size of the total moment: 0.0 μB per cell
Space group: F-43m, No. 216
Volume: 25.4 Å³/atom

Cell lengths 4.760, 4.760, 4.760 Å; angles 60.00, 60.00, 60.00 degrees
Positions (direct):
Gd 0.000 0.000 0.000
Hg 0.750 0.750 0.750
Os 0.250 0.250 0.250


Pick (w): it beats the second-best structure by 452 meV per atom.


(w)
Material: GdHgPb
Method: DFT, PBE-GGA
State: relaxed

## Properties
Size of the total moment: 0.0 μB per cell
Space group: F-43m, No. 216
Volume: 31.7 Å³/atom

Cell lengths 5.123, 5.123, 5.123 Å; angles 60.00, 60.00, 60.00 degrees
Positions (direct):
Gd 0.000 0.000 0.000
Hg 0.750 0.750 0.750
Pb 0.250 0.250 0.250


(x)
Material: GdHgPb
Method: DFT, PBE-GGA
State: relaxed

## Properties
Size of the total moment: 0.0 μB per cell
Space group: F-43m, No. 216
Volume: 31.2 Å³/atom

Cell lengths 5.095, 5.095, 5.095 Å; angles 60.00, 60.00, 60.00 degrees
Positions (direct):
Gd 0.000 0.000 0.000
Hg 0.500 0.500 0.500
Pb 0.250 0.250 0.250


Pick (w): it beats the second-best structure by 61 meV per atom.


(w)
Material: GdHgSb
Method: DFT, PBE-GGA
State: relaxed

## Properties
Size of the total moment: 0.0 μB per cell
Space group: F-43m, No. 216
Volume: 31.9 Å³/atom

Cell lengths 5.132, 5.132, 5.132 Å; angles 60.00, 60.00, 60.00 degrees
Positions (direct):
Gd 0.000 0.000 0.000
Hg 0.750 0.750 0.750
Sb 0.250 0.250 0.250


(x)
Material: GdHgSb
Method: DFT, PBE-GGA
State: relaxed

## Properties
Size of the total moment: 0.0 μB per cell
Space group: F-43m, No. 216
Volume: 31.6 Å³/atom

Cell lengths 5.120, 5.120, 5.120 Å; angles 60.00, 60.00, 60.00 degrees
Positions (direct):
Gd 0.000 0.000 0.000
Hg 0.500 0.500 0.500
Sb 0.250 0.250 0.250


Pick (w): it beats the second-best structure by 277 meV per atom.


(w)
Material: GdScHg
Method: DFT, PBE-GGA
State: relaxed

## Properties
Size of the total moment: 0.0 μB per cell
Space group: F-43m, No. 216
Volume: 28.6 Å³/atom

Cell lengths 4.949, 4.949, 4.949 Å; angles 60.00, 60.00, 60.00 degrees
Positions (direct):
Gd 0.000 0.000 0.000
Sc 0.250 0.250 0.250
Hg 0.750 0.750 0.750


(x)
Material: GdScHg
Method: DFT, PBE-GGA
State: relaxed

## Properties
Size of the total moment: 0.0 μB per cell
Space group: F-43m, No. 216
Volume: 28.9 Å³/atom

Cell lengths 4.967, 4.967, 4.967 Å; angles 60.00, 60.00, 60.00 degrees
Positions (direct):
Gd 0.000 0.000 0.000
Sc 0.500 0.500 0.500
Hg 0.250 0.250 0.250


Pick (x): it beats the second-best structure by 491 meV per atom.